An optimized crystal structure of Cs2UMoO6, computed with PBE with a Hubbard U.

POSCAR file:
```
Cs2UMoO6
1.0
-4.942 -1.763 -3.072
0.609 -5.660 2.134
-0.279 4.714 3.827
Cs U Mo O
2 1 1 6
Direct
0.750 0.250 0.500
0.250 0.750 0.500
0.500 0.500 0.000
0.000 0.000 0.000
0.737 0.737 0.000
0.756 0.756 0.512
0.263 0.263 0.000
0.757 0.244 0.000
0.244 0.244 0.488
0.243 0.757 0.000
```

Values from the calculation:
**Raw total energy**: -71.98 eV for the cell shown
**Symmetry**: I4/mmm (139)